1.
Crystalline LiHg at its relaxed geometry. Source: Alexandria, functional GGA-PBE.

## Properties
Total magnetization: 0.00 μB per cell
Formation energy: -0.12 eV per formula unit
Volume: 25.71 Å³/atom

Geometry as CIF:
```
data_LiHg
_space_group_name_H-M_alt 'P 1'
_space_group_IT_number 1
_cell_length_a 4.665
_cell_length_b 4.665
_cell_length_c 5.456
_cell_angle_alpha 90.00
_cell_angle_beta 90.00
_cell_angle_gamma 120.00
loop_
_space_group_symop_operation_xyz
'x,y,z'
loop_
_atom_site_label
_atom_site_type_symbol
_atom_site_fract_x
_atom_site_fract_y
_atom_site_fract_z
Li1 Li 0.333 0.667 0.250
Li2 Li 0.667 0.333 0.750
Hg1 Hg 0.333 0.667 0.750
Hg2 Hg 0.667 0.333 0.250
```

2.
Crystalline Li3Hg7 at its relaxed geometry. Source: Alexandria, functional GGA-PBE.

## Properties
Total magnetization: 0.00 μB per cell
Formation energy: -1.90 eV per formula unit
Volume: 22.38 Å³/atom

Geometry as CIF:
```
data_Li3Hg7
_space_group_name_H-M_alt 'P 1'
_space_group_IT_number 1
_cell_length_a 9.667
_cell_length_b 9.667
_cell_length_c 5.531
_cell_angle_alpha 90.00
_cell_angle_beta 90.00
_cell_angle_gamma 120.00
loop_
_space_group_symop_operation_xyz
'x,y,z'
loop_
_atom_site_label
_atom_site_type_symbol
_atom_site_fract_x
_atom_site_fract_y
_atom_site_fract_z
Li1 Li 0.197 0.394 0.000
Li2 Li 0.197 0.803 0.000
Li3 Li 0.394 0.197 0.500
Li4 Li 0.606 0.803 0.000
Li5 Li 0.803 0.197 0.500
Li6 Li 0.803 0.606 0.500
Hg1 Hg 0.079 0.540 0.664
Hg2 Hg 0.113 0.226 0.523
Hg3 Hg 0.113 0.887 0.523
Hg4 Hg 0.226 0.113 0.023
Hg5 Hg 0.333 0.667 0.271
Hg6 Hg 0.460 0.540 0.664
Hg7 Hg 0.460 0.921 0.664
Hg8 Hg 0.540 0.079 0.164
Hg9 Hg 0.540 0.460 0.164
Hg10 Hg 0.667 0.333 0.771
Hg11 Hg 0.774 0.887 0.523
Hg12 Hg 0.887 0.113 0.023
Hg13 Hg 0.887 0.774 0.023
Hg14 Hg 0.921 0.460 0.164
```

3.
Crystalline LiHg3 at its relaxed geometry. Source: Alexandria, functional GGA-PBE.

## Properties
Total magnetization: 0.00 μB per cell
Formation energy: -0.68 eV per formula unit
Volume: 22.86 Å³/atom

Geometry as CIF:
```
data_LiHg3
_space_group_name_H-M_alt 'P 1'
_space_group_IT_number 1
_cell_length_a 5.516
_cell_length_b 5.516
_cell_length_c 5.430
_cell_angle_alpha 106.33
_cell_angle_beta 106.33
_cell_angle_gamma 35.41
loop_
_space_group_symop_operation_xyz
'x,y,z'
loop_
_atom_site_label
_atom_site_type_symbol
_atom_site_fract_x
_atom_site_fract_y
_atom_site_fract_z
Li1 Li 0.000 0.000 0.000
Hg1 Hg 0.272 0.272 0.772
Hg2 Hg 0.500 0.500 0.500
Hg3 Hg 0.728 0.728 0.228
```